Record 1
A plane-wave DFT calculation with meta-GGA SCAN was carried out for LiLa2Cd at its PBEsol-relaxed geometry.

```
LiLa2Cd
1.0
5.214 0.000 0.000
0.000 5.214 0.000
0.000 0.000 4.141
Li La Cd
1 2 1
direct
0.000 0.000 0.000 Li
0.000 0.500 0.500 La
0.500 0.000 0.500 La
0.500 0.500 0.000 Cd
```

- density of states at the Fermi level (states/eV/cell) = 4.17
- E_form (kJ/mol of formula units) = -76
- symmetry = P4/mmm, No. 123
- magnetic moment (μB/f.u.) = 0.34
- calculated total energy (eV per atom) = -29.951

Record 2
A plane-wave DFT calculation with meta-GGA SCAN was carried out for LiLa2Cd at its PBEsol-relaxed geometry.

```
LiLa2Cd
1.0
3.474 0.000 0.000
0.000 4.686 0.000
0.000 0.000 6.924
Li La Cd
1 2 1
direct
0.000 0.000 0.000 Li
0.500 0.500 0.272 La
0.500 0.500 0.728 La
0.000 0.000 0.500 Cd
```

- density of states at the Fermi level (states/eV/cell) = 3.34
- E_form (kJ/mol of formula units) = -65
- symmetry = Pmmm, No. 47
- magnetic moment (μB/f.u.) = 0.02
- calculated total energy (eV per atom) = -29.921

Record 3
A plane-wave DFT calculation with meta-GGA SCAN was carried out for Li2LaCd at its PBEsol-relaxed geometry.

```
Li2LaCd
1.0
3.434 0.000 0.000
0.000 3.434 0.000
0.000 0.000 7.889
Li La Cd
2 1 1
direct
0.000 0.000 0.000 Li
0.500 0.500 0.203 Li
0.500 0.500 0.673 La
0.000 0.000 0.386 Cd
```

- density of states at the Fermi level (states/eV/cell) = 2.68
- E_form (kJ/mol of formula units) = -60
- symmetry = P4mm, No. 99
- magnetic moment (μB/f.u.) = 0.10
- calculated total energy (eV per atom) = -19.731

Record 4
A plane-wave DFT calculation with meta-GGA SCAN was carried out for Li2LaCd at its PBEsol-relaxed geometry.

```
Li2LaCd
1.0
4.691 -2.325 0.000
4.691 2.325 0.000
-2.835 0.000 4.422
Li La Cd
2 1 1
direct
0.000 0.000 0.000 Li
0.723 0.723 0.213 Li
0.497 0.497 0.497 La
0.269 0.269 0.779 Cd
```

- density of states at the Fermi level (states/eV/cell) = 3.53
- E_form (kJ/mol of formula units) = -56
- symmetry = Cm, No. 8
- magnetic moment (μB/f.u.) = 0.00
- calculated total energy (eV per atom) = -19.721